CeSc3Au4 | PBE | relaxed

a = 4.8276 Å, b = 4.8276 Å, c = 25.5318 Å
α = 90.00°, β = 90.00°, γ = 120.00°
Space group R-3m (No. 166, hexagonal axes)
Asymmetric unit:
Ce  0.0000  0.0000  0.0000
Sc  0.0000  0.0000  0.2454
Sc  0.0000  0.0000  0.5000
Au  0.0000  0.0000  0.1280
Au  0.0000  0.0000  0.3903

---

Ce2ScAu4 | PBE | relaxed

a = 5.055 Å, b = 5.055 Å, c = 13.381 Å
α = 90.00°, β = 90.00°, γ = 90.00°
Space group I4/mmm (No. 139)
Asymmetric unit:
Ce  0.000  0.000  0.224
Sc  0.000  0.000  0.500
Au  0.000  0.500  0.108

---

CeSc2Au | PBE | relaxed

Results
Its relative energy among the computed polymorphs is 0 meV/atom.

a = 3.432 Å, b = 3.432 Å, c = 7.830 Å
α = 90.00°, β = 90.00°, γ = 90.00°
Space group P4/mmm (No. 123)
Asymmetric unit:
Ce  0.000  0.000  0.000
Sc  0.500  0.500  0.292
Au  0.000  0.000  0.500

---

Ce3ScAu4 | PBE | relaxed

a = 3.493 Å, b = 3.493 Å, c = 15.392 Å
α = 90.00°, β = 90.00°, γ = 90.00°
Space group P4/mmm (No. 123)
Asymmetric unit:
Ce  0.000  0.000  0.000
Ce  0.000  0.000  0.261
Sc  0.000  0.000  0.500
Au  0.500  0.500  0.130
Au  0.500  0.500  0.398

---

Ce2ScAu2 | PBE | relaxed

a = 8.071 Å, b = 8.071 Å, c = 3.894 Å
α = 90.00°, β = 90.00°, γ = 90.00°
Space group P4/mbm (No. 127)
Asymmetric unit:
Ce  0.171  0.329  0.000
Sc  0.000  0.000  0.500
Au  0.131  0.631  0.500

---

CeSc2Au3 | PBE | relaxed

a = 2.987 Å, b = 2.987 Å, c = 15.461 Å
α = 90.00°, β = 90.00°, γ = 90.00°
Space group P4/mmm (No. 123)
Asymmetric unit:
Ce  0.000  0.000  0.000
Sc  0.000  0.000  0.200
Au  0.500  0.500  0.322
Au  0.500  0.500  0.500

---

CeScAu4 | PBE | relaxed

a = 3.677 Å, b = 3.677 Å, c = 9.227 Å
α = 90.00°, β = 90.00°, γ = 90.00°
Space group P4/mmm (No. 123)
Asymmetric unit:
Ce  0.000  0.000  0.000
Sc  0.500  0.500  0.500
Au  0.000  0.000  0.346
Au  0.500  0.500  0.183

---

CeSc2Au | PBE | relaxed

Results
Its relative energy among the computed polymorphs is 141 meV/atom.

a = 4.530 Å, b = 4.530 Å, c = 4.518 Å
α = 90.00°, β = 90.00°, γ = 90.00°
Space group P4/mmm (No. 123)
Asymmetric unit:
Ce  0.000  0.000  0.000
Sc  0.000  0.500  0.500
Au  0.500  0.500  0.000

---

CeScSnAu | PBE | relaxed

a = 7.317 Å, b = 7.317 Å, c = 7.317 Å
α = 90.00°, β = 90.00°, γ = 90.00°
Space group F-43m (No. 216)
Asymmetric unit:
Ce  0.000  0.000  0.000
Sc  0.000  0.000  0.500
Sn  0.250  0.250  0.250
Au  0.250  0.250  0.750

---

CeScTcAu | PBE | relaxed

a = 6.900 Å, b = 6.900 Å, c = 6.900 Å
α = 90.00°, β = 90.00°, γ = 90.00°
Space group F-43m (No. 216)
Asymmetric unit:
Ce  0.000  0.000  0.000
Sc  0.000  0.000  0.500
Tc  0.250  0.250  0.750
Au  0.250  0.250  0.250

---

CeScTlAu | PBE | relaxed

a = 7.348 Å, b = 7.348 Å, c = 7.348 Å
α = 90.00°, β = 90.00°, γ = 90.00°
Space group F-43m (No. 216)
Asymmetric unit:
Ce  0.000  0.000  0.000
Sc  0.000  0.000  0.500
Tl  0.250  0.250  0.750
Au  0.250  0.250  0.250

---

CeScZnAu | PBE | relaxed

Results
Its relative energy among the computed polymorphs is 0 meV/atom.

a = 3.426 Å, b = 3.426 Å, c = 7.365 Å
α = 90.00°, β = 90.00°, γ = 90.00°
Space group P4mm (No. 99)
Asymmetric unit:
Ce  0.000  0.000  0.000
Sc  0.000  0.000  0.493
Zn  0.500  0.500  0.277
Au  0.500  0.500  0.701

---

no.,total magnetic moment (μB per atom),DFT total energy (eV per cell)
1,0.134,-131.55
2,0.302,-70.26
3,0.117,-23.33
4,0.411,-42.37
5,0.186,-54.83
6,0.210,-28.40
7,0.107,-29.60
8,0.363,-22.76
9,0.426,-87.54
10,0.059,-108.94
11,0.319,-78.01
12,0.246,-18.77